## Sm3Se3I (GGA-PBE)

Data for a relaxed Sm3Se3I crystal.

For the spin magnetization, the calculation gives 0.00 μB per formula unit. The calculation puts the formation energy from raw total energies at -36.782 kcal/mol of atoms. For the electronic total energy, the calculation gives -224.0 eV/cell.

a b c (Å): 9.0325 9.0325 17.5426
angles (deg): 90.00 90.00 120.00
Space group R-3 (No. 148, hexagonal axes)
Symmetry-distinct sites (fractional):
1 Sm 0.0040 0.3582 0.0811
2 Se 0.0030 0.7064 0.0880
3 I 0.0000 0.0000 0.3275